Record 1
# AgIr3S5

An optimized crystal structure of AgIr3S5 (GGA-PBE, OQMD).

The total energy is -5.3934 eV per atom.

It has space group P6/mmm (No. 191), with a = 5.7313 Å, b = 5.7313 Å, c = 6.4420 Å, α = 90.00°, β = 90.00° and γ = 120.00°. The asymmetric unit holds Ag at (0.0000, 0.0000, 0.0000), Ir at (0.0000, 0.5000, 0.5000), S at (0.0000, 0.0000, 0.5000) and S at (0.3333, 0.6667, 0.2412).

***

Record 2
# Ag2Ir2Se3S

An optimized crystal structure of Ag2Ir2Se3S (GGA-PBE, OQMD).

The total energy is -4.6727 eV per atom.

It has space group C2 (No. 5), with a = 11.508 Å, b = 5.987 Å, c = 6.300 Å, α = 90.00°, β = 121.91° and γ = 90.00°. The asymmetric unit holds Ag at (0.126, 0.000, 0.367), Ir at (0.107, 0.516, 0.870), Se at (0.000, 0.289, 0.500), Se at (0.247, 0.762, 0.794) and S at (0.000, 0.734, 0.000).

***

Record 3
# Ag2Ir2SeS3

An optimized crystal structure of Ag2Ir2SeS3 (GGA-PBE, OQMD).

The total energy is -4.8673 eV per atom.

It has space group C2 (No. 5), with a = 11.100 Å, b = 6.216 Å, c = 5.798 Å, α = 90.00°, β = 121.07° and γ = 90.00°. The asymmetric unit holds Ag at (0.124, 0.000, 0.353), Ir at (0.144, 0.480, 0.900), Se at (0.000, 0.697, 0.500), S at (0.000, 0.297, 0.000) and S at (0.249, 0.233, 0.779).

***

Record 4
# TlAgIrSe2S

An optimized crystal structure of TlAgIrSe2S (GGA-PBE, OQMD).

The total energy is -4.2600 eV per atom.

It has space group Cmcm (No. 63), with a = 3.844 Å, b = 13.920 Å, c = 10.183 Å, α = 90.00°, β = 90.00° and γ = 90.00°. The asymmetric unit holds Tl at (0.000, 0.205, 0.250), Ag at (0.000, 0.130, 0.750), Ir at (0.000, 0.500, 0.000), Se at (0.000, 0.116, 0.508) and S at (0.000, 0.458, 0.750).

***

Record 5
# AgSnIrS3

An optimized crystal structure of AgSnIrS3 (GGA-PBE, OQMD).

The total energy is -4.9764 eV per atom.

It has space group Cmcm (No. 63), with a = 3.656 Å, b = 15.545 Å, c = 9.082 Å, α = 90.00°, β = 90.00° and γ = 90.00°. The asymmetric unit holds Ag at (0.000, 0.193, 0.250), Sn at (0.000, 0.165, 0.750), Ir at (0.000, 0.500, 0.000), S at (0.000, 0.099, 0.026) and S at (0.000, 0.455, 0.250).

***

Record 6
# TlAgTe2IrS

An optimized crystal structure of TlAgTe2IrS (GGA-PBE, OQMD).

The total energy is -4.0520 eV per atom.

It has space group Cmcm (No. 63), with a = 4.024 Å, b = 15.158 Å, c = 10.038 Å, α = 90.00°, β = 90.00° and γ = 90.00°. The asymmetric unit holds Tl at (0.000, 0.230, 0.250), Ag at (0.000, 0.458, 0.750), Te at (0.000, 0.379, 0.506), Ir at (0.000, 0.000, 0.000) and S at (0.000, 0.058, 0.750).

***

Record 7
# TlAg3IrS4

An optimized crystal structure of TlAg3IrS4 (GGA-PBE, OQMD).

The total energy is -3.9694 eV per atom.

It has space group P-43m (No. 215), with a = 6.185 Å, b = 6.185 Å, c = 6.185 Å, α = 90.00°, β = 90.00° and γ = 90.00°. The asymmetric unit holds Tl at (0.000, 0.000, 0.000), Ag at (0.000, 0.500, 0.500), Ir at (0.500, 0.500, 0.500) and S at (0.283, 0.283, 0.283).

***

Record 8
# TlAgIrS3

An optimized crystal structure of TlAgIrS3 (GGA-PBE, OQMD).

The total energy is -4.5550 eV per atom.

It has space group Cmcm (No. 63), with a = 3.622 Å, b = 15.651 Å, c = 9.322 Å, α = 90.00°, β = 90.00° and γ = 90.00°. The asymmetric unit holds Tl at (0.000, 0.180, 0.250), Ag at (0.000, 0.172, 0.750), Ir at (0.000, 0.500, 0.000), S at (0.000, 0.098, 0.523) and S at (0.000, 0.458, 0.750).